{"formula": "CsMg14Nb", "functional": "PBE", "state": "relaxed", "lattice": [[3.229, -5.602, 0.000], [3.229, 5.602, 0.000], [0.000, 0.000, 10.748]], "species": ["Mg", "Mg", "Mg", "Mg", "Mg", "Mg", "Mg", "Mg", "Mg", "Mg", "Mg", "Mg", "Mg", "Mg", "Cs", "Nb"], "frac_coords": [[0.339, 0.661, 0.000], [0.309, 0.171, 0.500], [0.664, 0.336, 0.777], [0.660, 0.818, 0.247], [0.660, 0.818, 0.753], [0.328, 0.155, 0.000], [0.664, 0.336, 0.223], [0.845, 0.672, 0.000], [0.829, 0.691, 0.500], [0.182, 0.340, 0.753], [0.182, 0.340, 0.247], [0.840, 0.160, 0.000], [0.176, 0.824, 0.735], [0.176, 0.824, 0.265], [0.805, 0.195, 0.500], [0.342, 0.658, 0.500]], "relative_energy_ev_per_atom": 0.029, "spacegroup": "Amm2, No. 38", "total_energy_ev_per_cell": -28.98, "total_magnetization_mub_per_fu": 1.77, "formation_energy_ev_per_atom": 0.27}